[1]
The following is a DFT calculation (PBE) of CaTl3Hg12 after structural relaxation.

Cell lengths 4.596, 4.596, 20.884 Å; angles 90.00, 90.00, 90.00 degrees
Positions (direct):
Ca (0.000, 0.000, 0.000)
Tl (0.000, 0.000, 0.248)
Tl (0.000, 0.000, 0.500)
Tl (0.000, 0.000, 0.752)
Hg (0.500, 0.500, 0.000)
Hg (0.500, 0.500, 0.240)
Hg (0.500, 0.500, 0.500)
Hg (0.500, 0.500, 0.760)
Hg (0.500, 0.000, 0.118)
Hg (0.500, 0.000, 0.372)
Hg (0.500, 0.000, 0.628)
Hg (0.500, 0.000, 0.882)
Hg (0.000, 0.500, 0.118)
Hg (0.000, 0.500, 0.372)
Hg (0.000, 0.500, 0.628)
Hg (0.000, 0.500, 0.882)

Results
Total magnetic moment in μB per cell: 0.00
Calculated volume in Å³/cell: 441.1
Density of states at the Fermi level in states/eV per cell: 5.73
SG: No. 123

[2]
The following is a DFT calculation (PBE) of CaTl6Hg after structural relaxation.

Cell lengths 8.201, 9.552, 6.322 Å; angles 41.37, 49.24, 55.67 degrees
Positions (direct):
Ca (0.500, 0.500, 0.500)
Tl (0.954, 0.546, 0.734)
Tl (0.765, 0.948, 0.827)
Tl (0.546, 0.235, 0.264)
Tl (0.235, 0.052, 0.173)
Tl (0.046, 0.454, 0.266)
Tl (0.454, 0.765, 0.736)
Hg (0.000, 0.000, 0.000)

Results
Total magnetic moment in μB per cell: 0.00
Calculated volume in Å³/cell: 245.2
Excess energy over the best structure of this formula in the dataset in eV per atom: 0.026
Density of states at the Fermi level in states/eV per cell: 3.21
SG: No. 2

[3]
The following is a DFT calculation (PBE) of CaTl2Hg after structural relaxation.

Cell lengths 4.753, 4.753, 4.939 Å; angles 90.00, 90.00, 90.00 degrees
Positions (direct):
Tl (0.000, 0.875, 0.125)
Tl (0.500, 0.375, 0.125)
Ca (0.000, 0.375, 0.625)
Hg (0.500, 0.875, 0.625)

Results
Total magnetic moment in μB per cell: 0.00
Calculated volume in Å³/cell: 111.6
Density of states at the Fermi level in states/eV per cell: 2.44
SG: No. 123

[4]
The following is a DFT calculation (PBE) of CaTlHg2 after structural relaxation.

Cell lengths 4.054, 3.954, 7.870 Å; angles 59.83, 90.00, 90.00 degrees
Positions (direct):
Tl (0.500, 0.250, 0.250)
Ca (0.500, 0.750, 0.750)
Hg (0.000, 0.004, 0.996)
Hg (0.000, 0.496, 0.504)

Results
Total magnetic moment in μB per cell: 0.00
Calculated volume in Å³/cell: 109.0
Density of states at the Fermi level in states/eV per cell: 1.81
SG: No. 47

no.,DFT formation energy (eV per atom)
1,-0.11
2,-0.07
3,-0.27
4,-0.31